Compound: Sb2SeF
Source: Alexandria via LeMat-Bulk
Functional: PBE
Structure: relaxed

Results
Mass density (Mg/m³): 6.32
E above lowest polymorph (meV per atom): 0
DOS(E_F) (states/eV/cell): 3.8
Formation energy (no corrections) (eV/atom): -0.49

Cell and atoms, written as POSCAR:
```
Sb2SeF
1.0
-4.877 -3.198 4.673
4.259 -6.136 0.246
1.296 -3.452 4.965
Sb F Se
4 2 2
direct
0.603 0.125 0.250 Sb
0.147 0.625 0.250 Sb
0.375 0.397 0.750 Sb
0.875 0.853 0.750 Sb
0.250 0.750 0.500 F
0.500 0.500 0.000 F
0.750 0.250 0.500 Se
0.000 0.000 0.000 Se
```